#P
# LaHf3Ir | the Alexandria database | PBE | optimized geometry
data_LaHf3Ir
_symmetry_space_group_name_H-M 'P m -3 m'
_symmetry_Int_Tables_number 221
_symmetry_space_group_name_Hall '-P 4 2 3'
_cell_length_a 4.9974
_cell_length_b 4.9974
_cell_length_c 4.9974
_cell_angle_alpha 90.00
_cell_angle_beta 90.00
_cell_angle_gamma 90.00
loop_
_atom_site_label
_atom_site_type_symbol
_atom_site_fract_x
_atom_site_fract_y
_atom_site_fract_z
_atom_site_occupancy
La1 La 0.0000 0.0000 0.0000 1
Hf1 Hf 0.0000 0.0000 0.5000 1
Ir1 Ir 0.5000 0.5000 0.5000 1
# Calculated volume ... 124.8 Å³ per cell
# Crystal system ... cubic
# D(E_F) ... 1.168 states/eV per atom

#Q
# LaHf3Ir | the Alexandria database | PBE | optimized geometry
data_LaHf3Ir
_symmetry_space_group_name_H-M 'P m -3 m'
_symmetry_Int_Tables_number 221
_symmetry_space_group_name_Hall '-P 4 2 3'
_cell_length_a 5.1121
_cell_length_b 5.1121
_cell_length_c 5.1121
_cell_angle_alpha 90.00
_cell_angle_beta 90.00
_cell_angle_gamma 90.00
loop_
_atom_site_label
_atom_site_type_symbol
_atom_site_fract_x
_atom_site_fract_y
_atom_site_fract_z
_atom_site_occupancy
La1 La 0.0000 0.0000 0.0000 1
Hf1 Hf 0.0000 0.5000 0.5000 1
Ir1 Ir 0.5000 0.5000 0.5000 1
# Calculated volume ... 133.6 Å³ per cell
# Crystal system ... cubic
# D(E_F) ... 1.270 states/eV per atom

Energies, relative to the best one, in eV/atom: #P 1.881; #Q 0.000.

#P
# LaHf2ZrIr | the Alexandria database | PBE | optimized geometry
data_LaHf2ZrIr
_symmetry_space_group_name_H-M 'P 4/m m m'
_symmetry_Int_Tables_number 123
_symmetry_space_group_name_Hall '-P 4 2'
_cell_length_a 5.0321
_cell_length_b 5.0321
_cell_length_c 4.9496
_cell_angle_alpha 90.00
_cell_angle_beta 90.00
_cell_angle_gamma 90.00
loop_
_atom_site_label
_atom_site_type_symbol
_atom_site_fract_x
_atom_site_fract_y
_atom_site_fract_z
_atom_site_occupancy
La1 La 0.0000 0.0000 0.0000 1
Hf1 Hf 0.0000 0.5000 0.0000 1
Zr1 Zr 0.0000 0.0000 0.5000 1
Ir1 Ir 0.5000 0.5000 0.5000 1
# Calculated volume ... 125.3 Å³ per cell
# Crystal system ... tetragonal
# D(E_F) ... 1.304 states/eV per atom

#Q
# LaHf2ZrIr | the Alexandria database | PBE | optimized geometry
data_LaHf2ZrIr
_symmetry_space_group_name_H-M 'P 4/m m m'
_symmetry_Int_Tables_number 123
_symmetry_space_group_name_Hall '-P 4 2'
_cell_length_a 5.0897
_cell_length_b 5.0897
_cell_length_c 5.4220
_cell_angle_alpha 90.00
_cell_angle_beta 90.00
_cell_angle_gamma 90.00
loop_
_atom_site_label
_atom_site_type_symbol
_atom_site_fract_x
_atom_site_fract_y
_atom_site_fract_z
_atom_site_occupancy
La1 La 0.0000 0.0000 0.0000 1
Hf1 Hf 0.0000 0.5000 0.5000 1
Zr1 Zr 0.5000 0.5000 0.0000 1
Ir1 Ir 0.0000 0.0000 0.5000 1
# Calculated volume ... 140.5 Å³ per cell
# Crystal system ... tetragonal
# D(E_F) ... 1.373 states/eV per atom

Energies, relative to the best one, in eV/atom: #P 1.488; #Q 0.000.

#P
# Li2HfIr2 | the Alexandria database | PBE | optimized geometry
data_Li2HfIr2
_symmetry_space_group_name_H-M 'I 4/m m m'
_symmetry_Int_Tables_number 139
_symmetry_space_group_name_Hall '-I 4 2'
_cell_length_a 3.2975
_cell_length_b 3.2975
_cell_length_c 14.1466
_cell_angle_alpha 90.00
_cell_angle_beta 90.00
_cell_angle_gamma 90.00
loop_
_atom_site_label
_atom_site_type_symbol
_atom_site_fract_x
_atom_site_fract_y
_atom_site_fract_z
_atom_site_occupancy
Li1 Li 0.0000 0.5000 0.2500 1
Hf1 Hf 0.0000 0.0000 0.0000 1
Ir1 Ir 0.0000 0.0000 0.3955 1
# Calculated volume ... 153.8 Å³ per cell
# Crystal system ... tetragonal
# D(E_F) ... 0.676 states/eV per atom

#Q
# Li2HfIr2 | the Alexandria database | PBE | optimized geometry
data_Li2HfIr2
_symmetry_space_group_name_H-M 'P 4/m b m'
_symmetry_Int_Tables_number 127
_symmetry_space_group_name_Hall '-P 4 2ab'
_cell_length_a 6.7187
_cell_length_b 6.7187
_cell_length_c 3.0768
_cell_angle_alpha 90.00
_cell_angle_beta 90.00
_cell_angle_gamma 90.00
loop_
_atom_site_label
_atom_site_type_symbol
_atom_site_fract_x
_atom_site_fract_y
_atom_site_fract_z
_atom_site_occupancy
Li1 Li 0.1060 0.3940 0.0000 1
Hf1 Hf 0.0000 0.0000 0.0000 1
Ir1 Ir 0.1934 0.6934 0.5000 1
# Calculated volume ... 138.9 Å³ per cell
# Crystal system ... tetragonal
# D(E_F) ... 0.268 states/eV per atom

Energies, relative to the best one, in eV/atom: #P 0.007; #Q 0.000.

#P
# Li2HfIr | the Alexandria database | PBE | optimized geometry
data_Li2HfIr
_symmetry_space_group_name_H-M 'I -4 2 d'
_symmetry_Int_Tables_number 122
_symmetry_space_group_name_Hall 'I -4 2bw'
_cell_length_a 3.7213
_cell_length_b 3.7213
_cell_length_c 20.3813
_cell_angle_alpha 90.00
_cell_angle_beta 90.00
_cell_angle_gamma 90.00
loop_
_atom_site_label
_atom_site_type_symbol
_atom_site_fract_x
_atom_site_fract_y
_atom_site_fract_z
_atom_site_occupancy
Li1 Li 0.2086 0.2500 0.1250 1
Hf1 Hf 0.0000 0.0000 0.5000 1
Ir1 Ir 0.0000 0.0000 0.0000 1
# Calculated volume ... 282.2 Å³ per cell
# Crystal system ... tetragonal
# D(E_F) ... 0.395 states/eV per atom

#Q
# Li2HfIr | the Alexandria database | PBE | optimized geometry
data_Li2HfIr
_symmetry_space_group_name_H-M 'F m -3 m'
_symmetry_Int_Tables_number 225
_symmetry_space_group_name_Hall '-F 4 2 3'
_cell_length_a 6.1002
_cell_length_b 6.1002
_cell_length_c 6.1002
_cell_angle_alpha 90.00
_cell_angle_beta 90.00
_cell_angle_gamma 90.00
loop_
_atom_site_label
_atom_site_type_symbol
_atom_site_fract_x
_atom_site_fract_y
_atom_site_fract_z
_atom_site_occupancy
Li1 Li 0.2500 0.2500 0.2500 1
Hf1 Hf 0.0000 0.0000 0.0000 1
Ir1 Ir 0.0000 0.0000 0.5000 1
# Calculated volume ... 227.0 Å³ per cell
# Crystal system ... cubic
# D(E_F) ... 0.752 states/eV per atom

Energies, relative to the best one, in eV/atom: #P 0.000; #Q 0.121.

#P
# LiHf2Ir | the Alexandria database | PBE | optimized geometry
data_LiHf2Ir
_symmetry_space_group_name_H-M 'P 4/m m m'
_symmetry_Int_Tables_number 123
_symmetry_space_group_name_Hall '-P 4 2'
_cell_length_a 4.5708
_cell_length_b 4.5708
_cell_length_c 3.3406
_cell_angle_alpha 90.00
_cell_angle_beta 90.00
_cell_angle_gamma 90.00
loop_
_atom_site_label
_atom_site_type_symbol
_atom_site_fract_x
_atom_site_fract_y
_atom_site_fract_z
_atom_site_occupancy
Li1 Li 0.0000 0.0000 0.0000 1
Hf1 Hf 0.0000 0.5000 0.5000 1
Ir1 Ir 0.5000 0.5000 0.0000 1
# Calculated volume ... 69.8 Å³ per cell
# Crystal system ... tetragonal
# D(E_F) ... 0.692 states/eV per atom

#Q
# LiHf2Ir | the Alexandria database | PBE | optimized geometry
data_LiHf2Ir
_symmetry_space_group_name_H-M 'I -4 2 d'
_symmetry_Int_Tables_number 122
_symmetry_space_group_name_Hall 'I -4 2bw'
_cell_length_a 7.4682
_cell_length_b 7.4682
_cell_length_c 5.7414
_cell_angle_alpha 90.00
_cell_angle_beta 90.00
_cell_angle_gamma 90.00
loop_
_atom_site_label
_atom_site_type_symbol
_atom_site_fract_x
_atom_site_fract_y
_atom_site_fract_z
_atom_site_occupancy
Li1 Li 0.0000 0.0000 0.0000 1
Hf1 Hf 0.2163 0.2500 0.6250 1
Ir1 Ir 0.0000 0.0000 0.5000 1
# Calculated volume ... 320.2 Å³ per cell
# Crystal system ... tetragonal
# D(E_F) ... 0.109 states/eV per atom

#R
# LiHf2Ir | the Alexandria database | PBE | optimized geometry
data_LiHf2Ir
_symmetry_space_group_name_H-M 'F m -3 m'
_symmetry_Int_Tables_number 225
_symmetry_space_group_name_Hall '-F 4 2 3'
_cell_length_a 6.5401
_cell_length_b 6.5401
_cell_length_c 6.5401
_cell_angle_alpha 90.00
_cell_angle_beta 90.00
_cell_angle_gamma 90.00
loop_
_atom_site_label
_atom_site_type_symbol
_atom_site_fract_x
_atom_site_fract_y
_atom_site_fract_z
_atom_site_occupancy
Li1 Li 0.0000 0.0000 0.0000 1
Hf1 Hf 0.2500 0.2500 0.2500 1
Ir1 Ir 0.0000 0.0000 0.5000 1
# Calculated volume ... 279.7 Å³ per cell
# Crystal system ... cubic
# D(E_F) ... 0.334 states/eV per atom

Energies, relative to the best one, in eV/atom: #P 0.051; #Q 0.536; #R 0.000.

#P
# LiHfIr | the Alexandria database | PBE | optimized geometry
data_LiHfIr
_symmetry_space_group_name_H-M 'I 4 m m'
_symmetry_Int_Tables_number 107
_symmetry_space_group_name_Hall 'I 4 -2'
_cell_length_a 3.4061
_cell_length_b 3.4061
_cell_length_c 8.5148
_cell_angle_alpha 90.00
_cell_angle_beta 90.00
_cell_angle_gamma 90.00
loop_
_atom_site_label
_atom_site_type_symbol
_atom_site_fract_x
_atom_site_fract_y
_atom_site_fract_z
_atom_site_occupancy
Li1 Li 0.0000 0.0000 0.0000 1
Hf1 Hf 0.0000 0.0000 0.3117 1
Ir1 Ir 0.0000 0.0000 0.6631 1
# Calculated volume ... 98.8 Å³ per cell
# Crystal system ... tetragonal
# D(E_F) ... 0.657 states/eV per atom

#Q
# LiHfIr | the Alexandria database | PBE | optimized geometry
data_LiHfIr
_symmetry_space_group_name_H-M 'R 3 m'
_symmetry_Int_Tables_number 160
_symmetry_space_group_name_Hall 'R 3 -2"'
_cell_length_a 2.9161
_cell_length_b 2.9161
_cell_length_c 44.0652
_cell_angle_alpha 90.00
_cell_angle_beta 90.00
_cell_angle_gamma 120.00
loop_
_atom_site_label
_atom_site_type_symbol
_atom_site_fract_x
_atom_site_fract_y
_atom_site_fract_z
_atom_site_occupancy
Li1 Li 0.0000 0.0000 0.0000 1
Li2 Li 0.0000 0.0000 0.0621 1
Hf1 Hf 0.0000 0.0000 0.5013 1
Hf2 Hf 0.0000 0.0000 0.5694 1
Ir1 Ir 0.0000 0.0000 0.1186 1
Ir2 Ir 0.0000 0.0000 0.2861 1
# Calculated volume ... 324.5 Å³ per cell
# Crystal system ... trigonal
# D(E_F) ... 0.424 states/eV per atom

#R
# LiHfIr | the Alexandria database | PBE | optimized geometry
data_LiHfIr
_symmetry_space_group_name_H-M 'P m m n'
_symmetry_Int_Tables_number 59
_cell_length_a 3.1871
_cell_length_b 3.5385
_cell_length_c 9.1611
_cell_angle_alpha 90.00
_cell_angle_beta 90.00
_cell_angle_gamma 90.00
loop_
_symmetry_equiv_pos_as_xyz
'x,y,z'
'-x,-y,-z'
'-x+1/2,-y+1/2,z'
'x+1/2,y+1/2,-z'
'x+1/2,-y,-z'
'-x+1/2,y,z'
'-x,y+1/2,-z'
'x,-y+1/2,z'
loop_
_atom_site_label
_atom_site_type_symbol
_atom_site_fract_x
_atom_site_fract_y
_atom_site_fract_z
_atom_site_occupancy
Li1 Li 0.2500 0.2500 0.0703 1
Hf1 Hf 0.2500 0.2500 0.3847 1
Ir1 Ir 0.2500 0.2500 0.7515 1
# Calculated volume ... 103.3 Å³ per cell
# Crystal system ... orthorhombic
# D(E_F) ... 0.785 states/eV per atom

Energies, relative to the best one, in eV/atom: #P 0.000; #Q 0.431; #R 0.031.